Here is an optimized crystal structure of Cs2PbC from Alexandria. Energies are from PBE.

Computed properties:
As for the volume: 45.66 A^3/atom. The calculation puts the total magnetization at 0.00 Bohr magnetons per cell. For the energy relative to the elements, the calculation gives 31.65 kcal/mol of atoms. Its excess energy over the best structure of this formula in the dataset is 0.470 eV/atom. Its density of states at the Fermi level is 0.00 states/eV/f.u.

Lattice parameters (Å, degrees): 6.3685 6.3685 6.3685 60.00 60.00 60.00
Last column: nearest neighbours and their distance in Å.
Fractional positions:
Cs (0.2500, 0.2500, 0.2500)  4 Pb 3.90, 4 C 3.90
Cs (0.7500, 0.7500, 0.7500)  4 Pb 3.90, 4 C 3.90
Pb (0.5000, 0.5000, 0.5000)  8 Cs 3.90
C (0.0000, 0.0000, 0.0000)  8 Cs 3.90



Here is an optimized crystal structure of CsPd3C from Alexandria. Energies are from PBE.

Computed properties:
As for the volume: 17.76 A^3/atom. The calculation puts the total magnetization at 0.00 Bohr magnetons per cell. For the energy relative to the elements, the calculation gives 14.18 kcal/mol of atoms. Its excess energy over the best structure of this formula in the dataset is 0.000 eV/atom. Its density of states at the Fermi level is 4.23 states/eV/f.u.

Lattice parameters (Å, degrees): 4.4611 4.4611 4.4611 90.00 90.00 90.00
Last column: nearest neighbours and their distance in Å.
Fractional positions:
Cs (0.5000, 0.5000, 0.5000)  12 Pd 3.15
Pd (0.5000, 0.0000, 0.0000)  2 C 2.23
Pd (0.0000, 0.5000, 0.0000)  2 C 2.23
Pd (0.0000, 0.0000, 0.5000)  2 C 2.23
C (0.0000, 0.0000, 0.0000)  6 Pd 2.23



Here is an optimized crystal structure of Cs3PdC from Alexandria. Energies are from PBE.

Computed properties:
As for the volume: 58.98 A^3/atom. The calculation puts the total magnetization at 3.00 Bohr magnetons per cell. For the energy relative to the elements, the calculation gives 25.71 kcal/mol of atoms. Its density of states at the Fermi level is 0.52 states/eV/f.u.

Lattice parameters (Å, degrees): 6.6560 6.6560 6.6560 90.00 90.00 90.00
Last column: nearest neighbours and their distance in Å.
Fractional positions:
Cs (0.5000, 0.0000, 0.0000)  2 Pd 3.33
Cs (0.0000, 0.5000, 0.0000)  2 Pd 3.33
Cs (0.0000, 0.0000, 0.5000)  2 Pd 3.33
C (0.5000, 0.5000, 0.5000)  12 Cs 4.71
Pd (0.0000, 0.0000, 0.0000)  6 Cs 3.33



Here is an optimized crystal structure of CsPd3C from Alexandria. Energies are from PBE.

Computed properties:
As for the volume: 30.08 A^3/atom. The calculation puts the total magnetization at 2.13 Bohr magnetons per cell. For the energy relative to the elements, the calculation gives 61.31 kcal/mol of atoms. Its excess energy over the best structure of this formula in the dataset is 2.044 eV/atom. Its density of states at the Fermi level is 5.36 states/eV/f.u.

Lattice parameters (Å, degrees): 5.3180 5.3180 5.3180 90.00 90.00 90.00
Last column: nearest neighbours and their distance in Å.
Fractional positions:
Pd (0.0000, 0.5000, 0.0000)  2 Cs 2.66
Pd (0.0000, 0.0000, 0.5000)  2 Cs 2.66
Pd (0.5000, 0.0000, 0.0000)  2 Cs 2.66
C (0.5000, 0.5000, 0.5000)  12 Pd 3.76
Cs (0.0000, 0.0000, 0.0000)  6 Pd 2.66



Here is an optimized crystal structure of Cs2PdC from Alexandria. Energies are from PBE.

Computed properties:
As for the volume: 34.32 A^3/atom. The calculation puts the total magnetization at 2.02 Bohr magnetons per cell. For the energy relative to the elements, the calculation gives 32.89 kcal/mol of atoms. Its density of states at the Fermi level is 1.38 states/eV/f.u.

Lattice parameters (Å, degrees): 5.7903 5.7903 5.7903 60.00 60.00 60.00
Last column: nearest neighbours and their distance in Å.
Fractional positions:
Pd (0.5000, 0.5000, 0.5000)  8 Cs 3.55
C (0.0000, 0.0000, 0.0000)  8 Cs 3.55
Cs (0.2500, 0.2500, 0.2500)  4 Pd 3.55, 4 C 3.55
Cs (0.7500, 0.7500, 0.7500)  4 Pd 3.55, 4 C 3.55



Here is an optimized crystal structure of CsPd2C from Alexandria. Energies are from PBE.

Computed properties:
As for the volume: 24.00 A^3/atom. The calculation puts the total magnetization at 0.00 Bohr magnetons per cell. For the energy relative to the elements, the calculation gives 9.40 kcal/mol of atoms. Its density of states at the Fermi level is 2.87 states/eV/f.u.

Lattice parameters (Å, degrees): 6.1109 6.1109 6.7159 62.94 62.94 90.00
Last column: nearest neighbours and their distance in Å.
Fractional positions:
Pd (0.3750, 0.6249, 0.7500)  2 C 2.00
Pd (0.8750, 0.6251, 0.7500)  2 C 2.00
Pd (0.3749, 0.6250, 0.2500)  2 C 2.00
Pd (0.3751, 0.1250, 0.2500)  2 C 2.00
Cs (0.0000, 0.0000, 0.0000)  8 Pd 3.65, 4 C 3.99, 4 Cs 3.99
Cs (0.7500, 0.2500, 0.5000)  8 Pd 3.65, 4 C 3.99, 4 Cs 3.99
C (0.2500, 0.7500, 0.5000)  4 Pd 2.00
C (0.5000, 0.5000, 0.0000)  4 Pd 2.00



Here is an optimized crystal structure of CsSrPd2C from Alexandria. Energies are from PBE.

Computed properties:
As for the volume: 29.15 A^3/atom. The calculation puts the total magnetization at 1.57 Bohr magnetons per cell. For the energy relative to the elements, the calculation gives 37.33 kcal/mol of atoms. Its density of states at the Fermi level is 2.61 states/eV/f.u.

Lattice parameters (Å, degrees): 5.3800 5.0353 5.3800 90.00 90.00 90.00
Last column: nearest neighbours and their distance in Å.
Fractional positions:
Pd (0.5000, 0.0000, 0.0000)  2 Cs 2.69
Pd (0.0000, 0.0000, 0.5000)  2 Cs 2.69
C (0.0000, 0.5000, 0.0000)  2 Cs 2.52
Cs (0.0000, 0.0000, 0.0000)  2 C 2.52, 4 Pd 2.69
Sr (0.5000, 0.5000, 0.5000)  8 Pd 3.68, 4 C 3.80



Here is an optimized crystal structure of CsPm2C from Alexandria. Energies are from PBE.

Computed properties:
As for the volume: 33.93 A^3/atom. The calculation puts the total magnetization at 1.27 Bohr magnetons per cell. For the energy relative to the elements, the calculation gives 2.89 kcal/mol of atoms. Its density of states at the Fermi level is 3.92 states/eV/f.u.

Lattice parameters (Å, degrees): 3.7656 3.7656 11.2652 80.38 80.38 60.00
Last column: nearest neighbours and their distance in Å.
Fractional positions:
Pm (0.8748, 0.8748, 0.3757)  3 C 2.57
Pm (0.1252, 0.1252, 0.6243)  3 C 2.57
Cs (0.0000, 0.0000, 0.0000)  6 Cs 3.77, 2 Pm 4.15
C (0.5000, 0.5000, 0.5000)  6 Pm 2.57



Here is an optimized crystal structure of CsPt2C from Alexandria. Energies are from PBE.

Computed properties:
As for the volume: 23.50 A^3/atom. The calculation puts the total magnetization at 0.00 Bohr magnetons per cell. For the energy relative to the elements, the calculation gives 6.03 kcal/mol of atoms. Its density of states at the Fermi level is 2.29 states/eV/f.u.

Lattice parameters (Å, degrees): 5.7183 5.7183 7.0298 66.00 66.00 90.00
Last column: nearest neighbours and their distance in Å.
Fractional positions:
Pt (0.3749, 0.6250, 0.2500)  2 C 2.03
Pt (0.8750, 0.6251, 0.7500)  2 C 2.03
Pt (0.3751, 0.1250, 0.2500)  2 C 2.03
Pt (0.3750, 0.6249, 0.7500)  2 C 2.03
Cs (0.7500, 0.2500, 0.5000)  8 Pt 3.50-3.51
Cs (0.0000, 0.0000, 0.0000)  8 Pt 3.50-3.51
C (0.2500, 0.7500, 0.5000)  4 Pt 2.03
C (0.5000, 0.5000, 0.0000)  4 Pt 2.03



Here is an optimized crystal structure of Cs3PtC from Alexandria. Energies are from PBE.

Computed properties:
As for the volume: 56.90 A^3/atom. The calculation puts the total magnetization at 3.00 Bohr magnetons per cell. For the energy relative to the elements, the calculation gives 24.07 kcal/mol of atoms. Its density of states at the Fermi level is 0.00 states/eV/f.u.

Lattice parameters (Å, degrees): 6.5771 6.5771 6.5771 90.00 90.00 90.00
Last column: nearest neighbours and their distance in Å.
Fractional positions:
Cs (0.0000, 0.0000, 0.5000)  2 Pt 3.29
Cs (0.5000, 0.0000, 0.0000)  2 Pt 3.29
Cs (0.0000, 0.5000, 0.0000)  2 Pt 3.29
C (0.5000, 0.5000, 0.5000)  12 Cs 4.65
Pt (0.0000, 0.0000, 0.0000)  6 Cs 3.29



Here is an optimized crystal structure of CsPtC3 from Alexandria. Energies are from PBE.

Computed properties:
As for the volume: 17.63 A^3/atom. The calculation puts the total magnetization at 0.00 Bohr magnetons per cell. For the energy relative to the elements, the calculation gives 102.86 kcal/mol of atoms. Its density of states at the Fermi level is 1.57 states/eV/f.u.

Lattice parameters (Å, degrees): 4.4501 4.4501 4.4501 90.00 90.00 90.00
Last column: nearest neighbours and their distance in Å.
Fractional positions:
C (0.5000, 0.0000, 0.0000)  2 Cs 2.23
C (0.0000, 0.5000, 0.0000)  2 Cs 2.23
C (0.0000, 0.0000, 0.5000)  2 Cs 2.23
Pt (0.5000, 0.5000, 0.5000)  12 C 3.15
Cs (0.0000, 0.0000, 0.0000)  6 C 2.23



Here is an optimized crystal structure of CsPt3C from Alexandria. Energies are from PBE.

Computed properties:
As for the volume: 17.92 A^3/atom. The calculation puts the total magnetization at 0.00 Bohr magnetons per cell. For the energy relative to the elements, the calculation gives 19.45 kcal/mol of atoms. Its excess energy over the best structure of this formula in the dataset is 0.000 eV/atom. Its density of states at the Fermi level is 6.23 states/eV/f.u.

Lattice parameters (Å, degrees): 4.4744 4.4744 4.4744 90.00 90.00 90.00
Last column: nearest neighbours and their distance in Å.
Fractional positions:
Pt (0.5000, 0.0000, 0.0000)  2 C 2.24
Pt (0.0000, 0.5000, 0.0000)  2 C 2.24
Pt (0.0000, 0.0000, 0.5000)  2 C 2.24
Cs (0.5000, 0.5000, 0.5000)  12 Pt 3.16
C (0.0000, 0.0000, 0.0000)  6 Pt 2.24